Density functional theory data (PBE-GGA) for an optimized crystal structure of Tm6Ge3TeSe2.

abc: 18.0334 4.1190 8.3009
angles: 90.00 103.87 90.00
Space group C2/m (No. 12)
Symmetry-distinct sites (fractional):
Tm 0.0022 0.0000 0.2301 x4
Tm 0.1639 0.5000 0.0925 x4
Tm 0.1749 0.5000 0.5768 x4
Ge 0.0000 0.5000 0.0000 x2
Ge 0.1650 0.0000 0.3316 x4
Te 0.0000 0.5000 0.5000 x2
Se 0.1677 0.0000 0.8348 x4

Volume: 24.942 Å³/atom
Uncorrected formation energy: -1.265 eV per atom
VASP energy: -5.498 eV per atom
M_tot: 0.00 μB/f.u.

Density functional theory data (PBE-GGA) for an optimized crystal structure of CePrEr2Tm4.

abc: 5.0041 5.0241 9.8702
angles: 90.00 90.00 90.00
Space group Pmmm (No. 47)
Symmetry-distinct sites (fractional):
Ce 0.0000 0.0000 0.0000 x1
Pr 0.5000 0.5000 0.5000 x1
Er 0.0000 0.0000 0.5000 x1
Er 0.5000 0.5000 0.0000 x1
Tm 0.0000 0.5000 0.2458 x2
Tm 0.5000 0.0000 0.2462 x2

Volume: 31.018 Å³/atom
Formation enthalpy at 0 K: 52.1 meV/atom
VASP energy: -4.664 eV per atom
M_tot: 1.04 μB/f.u.